The following is a PBE calculation of a geometry-optimized CsSb4Pb6 structure, from Alexandria.

```
CsSb4Pb6
1.0
-2.5853 2.5853 15.9416
2.5853 -2.5853 15.9416
2.5853 2.5853 -15.9416
Cs Sb Pb
1 4 6
Direct
0.0000 0.0000 0.0000
0.1870 0.1870 0.0000
0.4364 0.4364 0.0000
0.5636 0.5636 0.0000
0.8130 0.8130 0.0000
0.1213 0.6213 0.5000
0.2500 0.7500 0.5000
0.3787 0.8787 0.5000
0.6213 0.1213 0.5000
0.7500 0.2500 0.5000
0.8787 0.3787 0.5000
```

Results
Energy = -3.640 eV per atom
Spin magnetization = 0.0 μB per formula unit
Formation energy from raw total energies = -0.041 eV/atom